Ce2BeCo2 | PBE | optimized geometry

As for the energy: -6.17 eV/atom. The value obtained for the magnetic moment is 0.00 μB per formula unit.

The structure belongs to space group C2/c (No. 15); the cell edges are 9.073, 5.510 and 7.290 Å and the angles 90.00°, 111.61° and 90.00°. The inequivalent atoms are Ce at (0.150, 0.148, 0.159), Be at (0.000, 0.381, 0.750) and Co at (0.125, 0.360, 0.526).